1.
Compound: PmSb2
Source: Alexandria via LeMat-Bulk
Functional: PBE
Structure: optimized geometry

Results
Energy relative to the lowest polymorph listed for this composition   0.0 meV/atom
Density   7.35 g/cm3
Formation energy from raw total energies   -0.7943 eV/atom
Space-group type   No. 64

Cell lengths 4.401, 4.401, 18.144 Å; angles 90.00, 90.00, 88.56 degrees
Positions (direct):
Pm 0.140 0.860 0.611
Pm 0.360 0.640 0.111
Pm 0.860 0.140 0.389
Pm 0.640 0.360 0.889
Sb 0.637 0.363 0.564
Sb 0.863 0.137 0.064
Sb 0.363 0.637 0.436
Sb 0.125 0.375 0.750
Sb 0.375 0.125 0.250
Sb 0.625 0.875 0.750
Sb 0.875 0.625 0.250
Sb 0.137 0.863 0.936

=====

2.
Compound: Pm5Sb2
Source: Alexandria via LeMat-Bulk
Functional: PBE
Structure: optimized geometry

Results
Density   7.19 g/cm3
Formation energy from raw total energies   -0.6473 eV/atom
Space-group type   No. 15

Cell lengths 6.385, 8.533, 8.859 Å; angles 95.77, 111.12, 90.00 degrees
Positions (direct):
Pm 0.768 0.573 0.816
Pm 0.232 0.427 0.184
Pm 0.803 0.326 0.462
Pm 0.652 0.250 0.000
Pm 0.348 0.750 0.000
Pm 0.952 0.927 0.184
Pm 0.048 0.073 0.816
Pm 0.197 0.674 0.538
Pm 0.659 0.826 0.462
Pm 0.341 0.174 0.538
Sb 0.569 0.920 0.793
Sb 0.776 0.580 0.207
Sb 0.224 0.420 0.793
Sb 0.431 0.080 0.207

=====

So what do the calculations give for E_tot? Going down the list: -5.126; -5.218 eV per atom.
So what do the calculations give for V? Going down the list: 351; 448 Å³/cell.